! TbSiO3 GGA-PBE optimized geometry; values from VASP
&SYSTEM
  ibrav = 0, nat = 20, ntyp = 3
/
ATOMIC_SPECIES
Tb 158.93 Tb.upf
Si 28.09 Si.upf
O 16.00 O.upf
CELL_PARAMETERS angstrom
6.002 0.000 0.000
0.000 5.267 0.000
-4.050 0.000 9.957
ATOMIC_POSITIONS crystal
Tb 0.204 0.054 0.178
Tb 0.204 0.446 0.678
Tb 0.796 0.554 0.322
Tb 0.796 0.946 0.822
Si 0.333 0.577 0.413
Si 0.333 0.923 0.913
Si 0.667 0.077 0.087
Si 0.667 0.423 0.587
O 0.151 0.134 0.807
O 0.151 0.366 0.307
O 0.155 0.692 0.485
O 0.155 0.808 0.985
O 0.441 0.738 0.824
O 0.441 0.762 0.324
O 0.559 0.238 0.676
O 0.559 0.262 0.176
O 0.845 0.192 0.015
O 0.845 0.308 0.515
O 0.849 0.634 0.693
O 0.849 0.866 0.193
! V, A^3/atom: 15.74
! Crystal system: monoclinic
! Magnetic moment, Bohr magnetons per cell: 0.000
! Formation energy without anion corrections, eV/atom: -2.968
! SG: P2_1/c